Entry 1:
Below is a PBEsol-optimized structure of SrCaZn2Cu, with properties calculated at the SCAN level.

The structure in extended XYZ format:
```
5
Lattice="4.832 0.000 0.000 0.000 4.832 0.000 0.000 0.000 5.063" Properties=species:S:1:pos:R:3 pbc="T T T"
Sr 0.000 0.000 0.000
Ca 2.416 2.416 0.000
Zn 0.000 2.416 2.531
Zn 2.416 0.000 2.531
Cu 2.416 2.416 2.531
```

Values from the calculation:
Crystal system: tetragonal

---

Entry 2:
Below is a PBEsol-optimized structure of CaTaCu, with properties calculated at the SCAN level.

The structure in extended XYZ format:
```
3
Lattice="-1.540 1.540 6.108 1.540 -1.540 6.108 1.540 1.540 -6.108" Properties=species:S:1:pos:R:3 pbc="T T T"
Ca 0.000 0.000 0.000
Ta 0.000 0.000 3.598
Cu 0.000 0.000 8.272
```

Values from the calculation:
Crystal system: tetragonal

---

Entry 3:
Below is a PBEsol-optimized structure of CaTaCu, with properties calculated at the SCAN level.

The structure in extended XYZ format:
```
3
Lattice="4.701 0.000 0.000 -2.350 4.071 0.000 0.000 0.000 2.962" Properties=species:S:1:pos:R:3 pbc="T T T"
Ca 0.000 0.000 0.000
Ta 0.000 2.714 1.602
Cu 2.350 1.357 1.302
```

Values from the calculation:
Crystal system: trigonal

---

Entry 4:
Below is a PBEsol-optimized structure of CaTa2Cu, with properties calculated at the SCAN level.

The structure in extended XYZ format:
```
4
Lattice="3.882 0.000 0.000 0.000 3.882 0.000 0.000 0.000 4.971" Properties=species:S:1:pos:R:3 pbc="T T T"
Ca 0.000 0.000 0.000
Ta 0.000 1.941 2.485
Ta 1.941 0.000 2.485
Cu 1.941 1.941 0.000
```

Values from the calculation:
Crystal system: tetragonal

---

no.,total DFT energy (no corrections) (eV/atom),energy of formation (meV per atom)
1,-14.84,-11
2,-30.07,407
3,-29.69,796
4,-38.82,691